Compound: TmUVO6
Source: Alexandria
Functional: PBE with a Hubbard U
Structure: relaxed

Lattice parameters (Å, degrees): 5.5735 5.5735 8.7736 90.00 90.00 120.00
Space group P-31c (No. 163)
Symmetry-distinct sites (fractional):
Tm (0.3333, 0.6667, 0.2500) x2
U (0.3333, 0.6667, 0.7500) x2
V (0.0000, 0.0000, 0.0000) x2
O (0.0193, 0.3349, 0.6268) x12

Properties
VASP energy in eV/atom: -8.70
M_tot in μB/atom: 0.222